Model one:
A plane-wave DFT calculation with GGA-PBE was carried out for a relaxed structure of Ba2LiCr.

The space-group type is No. 38.

abc: 5.0610 4.9532 6.9865
angles: 69.28 90.00 90.00
Last column: nearest neighbours and their distance in Å.
Atoms (fractional coordinates):
1 Ba 0.5000 0.2657 0.3429  3 Li 3.57-3.96, 4 Cr 3.69
2 Ba 0.0000 0.9790 0.9171  3 Cr 3.67-3.83, 4 Li 3.73
3 Cr 0.0000 0.6862 0.5029  2 Li 2.96
4 Li 0.5000 0.5690 0.7371  2 Cr 2.96


Model two:
A plane-wave DFT calculation with GGA-PBE was carried out for a relaxed structure of Ba2LiCr.

The space-group type is No. 166.

abc: 11.0117 11.0117 11.0117
angles: 22.28 22.28 22.28
Last column: nearest neighbours and their distance in Å.
Atoms (fractional coordinates):
1 Li 0.7500 0.7500 0.7500  6 Ba 3.89, 6 Li 4.25
2 Ba 0.5103 0.5103 0.5103  3 Cr 3.40
3 Ba 0.9897 0.9897 0.9897  3 Cr 3.40
4 Cr 0.2500 0.2500 0.2500  6 Ba 3.40


Model three:
A plane-wave DFT calculation with GGA-PBE was carried out for a relaxed structure of Ba2LiCr.

The space-group type is No. 216.

abc: 5.8037 5.8037 5.8037
angles: 60.00 60.00 60.00
Last column: nearest neighbours and their distance in Å.
Atoms (fractional coordinates):
1 Li 0.7500 0.7500 0.7500  4 Cr 3.55, 4 Ba 3.55
2 Cr 0.5000 0.5000 0.5000  4 Ba 3.55, 4 Li 3.55
3 Ba 0.0000 0.0000 0.0000  4 Ba 3.55, 4 Li 3.55
4 Ba 0.2500 0.2500 0.2500  4 Cr 3.55, 4 Ba 3.55


Of them, the most stable is model one and the least stable is model two.


Model one:
A plane-wave DFT calculation with GGA-PBE was carried out for a relaxed structure of Ba2LiCr.

The space-group type is No. 44.

abc: 7.1517 7.1517 7.1517
angles: 145.89 130.69 61.32
Last column: nearest neighbours and their distance in Å.
Atoms (fractional coordinates):
1 Cr 0.4647 0.4647 0.0000  2 Li 2.92
2 Li 0.3000 0.8000 0.5000  2 Cr 2.92
3 Ba 0.0156 0.0156 0.0000  4 Cr 3.70, 2 Ba 3.90, 4 Li 3.99-4.08
4 Ba 0.7196 0.2196 0.5000  2 Cr 3.77, 4 Li 3.78, 6 Ba 3.90-4.20


Model two:
A plane-wave DFT calculation with GGA-PBE was carried out for a relaxed structure of Ba2LiCr.

The space-group type is No. 47.

abc: 4.2955 4.2249 9.7055
angles: 64.19 90.00 90.00
Last column: nearest neighbours and their distance in Å.
Atoms (fractional coordinates):
1 Cr 0.5000 0.2500 0.2500  8 Ba 3.64
2 Ba 0.0000 0.5169 0.4831  4 Cr 3.64, 4 Li 3.81
3 Ba 0.0000 0.9831 0.0169  4 Cr 3.64, 4 Li 3.81
4 Li 0.5000 0.7500 0.7500  8 Ba 3.81, 2 Li 4.22


Model three:
A plane-wave DFT calculation with GGA-PBE was carried out for a relaxed structure of Ba2LiCr.

The space-group type is No. 225.

abc: 5.6893 5.6893 5.6893
angles: 60.00 60.00 60.00
Last column: nearest neighbours and their distance in Å.
Atoms (fractional coordinates):
1 Li 0.0000 0.0000 0.0000  8 Ba 3.48
2 Ba 0.7500 0.7500 0.7500  4 Cr 3.48, 4 Li 3.48
3 Ba 0.2500 0.2500 0.2500  4 Cr 3.48, 4 Li 3.48
4 Cr 0.5000 0.5000 0.5000  8 Ba 3.48


Of them, the most stable is model two and the least stable is model three.


Model one:
A plane-wave DFT calculation with GGA-PBE was carried out for a relaxed structure of BaLi2Cr2.

The space-group type is No. 139.

abc: 3.2342 3.2342 11.0387
angles: 81.58 81.58 90.00
Last column: nearest neighbours and their distance in Å.
Atoms (fractional coordinates):
1 Li 0.3588 0.3588 0.2823  4 Cr 2.85
2 Li 0.6412 0.6412 0.7177  4 Cr 2.85
3 Cr 0.2500 0.7500 0.5000  4 Cr 2.29
4 Cr 0.7500 0.2500 0.5000  4 Cr 2.29
5 Ba 0.0000 0.0000 0.0000  4 Ba 3.23


Model two:
A plane-wave DFT calculation with GGA-PBE was carried out for a relaxed structure of BaLi2Cr2.

The space-group type is No. 127.

abc: 8.2991 8.2991 3.1009
angles: 90.00 90.00 90.00
Last column: nearest neighbours and their distance in Å.
Atoms (fractional coordinates):
1 Li 0.8091 0.6909 0.0000  6 Cr 2.87-3.14, 2 Ba 3.02, 2 Li 3.10
2 Li 0.1909 0.3091 0.0000  6 Cr 2.87-3.14, 2 Ba 3.02, 2 Li 3.10
3 Li 0.6909 0.1909 0.0000  6 Cr 2.87-3.14, 2 Ba 3.02, 2 Li 3.10
4 Li 0.3091 0.8091 0.0000  6 Cr 2.87-3.14, 2 Ba 3.02, 2 Li 3.10
5 Cr 0.0769 0.5769 0.5000  1 Cr 1.80
6 Cr 0.9231 0.4231 0.5000  1 Cr 1.80
7 Cr 0.4231 0.0769 0.5000  1 Cr 1.80
8 Cr 0.5769 0.9231 0.5000  1 Cr 1.80
9 Ba 0.5000 0.5000 0.0000  4 Li 3.02, 2 Ba 3.10
10 Ba 0.0000 0.0000 0.0000  4 Li 3.02, 2 Ba 3.10


Of them, the most stable is model one and the least stable is model two.


Model one:
A plane-wave DFT calculation with GGA-PBE was carried out for a relaxed structure of BaMgCr3.

The space-group type is No. 221.

abc: 5.3201 5.3201 5.3201
angles: 90.00 90.00 90.00
Last column: nearest neighbours and their distance in Å.
Atoms (fractional coordinates):
1 Mg 0.0000 0.0000 0.0000  6 Cr 2.66
2 Cr 0.0000 0.5000 0.0000  2 Mg 2.66
3 Cr 0.0000 0.0000 0.5000  2 Mg 2.66
4 Cr 0.5000 0.0000 0.0000  2 Mg 2.66
5 Ba 0.5000 0.5000 0.5000  12 Cr 3.76


Model two:
A plane-wave DFT calculation with GGA-PBE was carried out for a relaxed structure of BaMgCr3.

The space-group type is No. 221.

abc: 5.2067 5.2067 5.2067
angles: 90.00 90.00 90.00
Last column: nearest neighbours and their distance in Å.
Atoms (fractional coordinates):
1 Cr 0.0000 0.5000 0.0000  2 Ba 2.60
2 Cr 0.5000 0.0000 0.0000  2 Ba 2.60
3 Cr 0.0000 0.0000 0.5000  2 Ba 2.60
4 Mg 0.5000 0.5000 0.5000  12 Cr 3.68
5 Ba 0.0000 0.0000 0.0000  6 Cr 2.60


Of them, the most stable is model one and the least stable is model two.